# PBE AlAgPd4, relaxed
data_AlAgPd4
_chemical_formula_sum 'Al2 Ag2 Pd8'
_symmetry_space_group_name_H-M 'C 1 2/m 1'
_symmetry_Int_Tables_number 12
_symmetry_space_group_name_Hall '-C 2y'
_cell_length_a 8.8344
_cell_length_b 2.8351
_cell_length_c 8.5741
_cell_angle_alpha 90.00
_cell_angle_beta 114.82
_cell_angle_gamma 90.00
loop_
_atom_site_label
_atom_site_fract_x
_atom_site_fract_y
_atom_site_fract_z
Al1 0.0000 0.0000 0.0000
Ag1 0.0000 0.5000 0.5000
Pd1 0.1427 0.5000 0.8585
Pd2 0.1588 0.0000 0.3292
# Relative energy among the computed polymorphs = 110 meV/atom
# Raw total energy = -4.85 eV/atom
# Volume = 194.9 Å³/cell
# Calculated formation energy = -0.293 eV per atom

# PBE AlAgPd4, relaxed
data_AlAgPd4
_chemical_formula_sum 'Al1 Ag1 Pd4'
_symmetry_space_group_name_H-M 'P 4/m m m'
_symmetry_Int_Tables_number 123
_symmetry_space_group_name_Hall '-P 4 2'
_cell_length_a 2.8863
_cell_length_b 2.8863
_cell_length_c 11.1240
_cell_angle_alpha 90.00
_cell_angle_beta 90.00
_cell_angle_gamma 90.00
loop_
_atom_site_label
_atom_site_fract_x
_atom_site_fract_y
_atom_site_fract_z
Al1 0.0000 0.0000 0.0000
Ag1 0.5000 0.5000 0.5000
Pd1 0.0000 0.0000 0.3199
Pd2 0.5000 0.5000 0.1420
# Relative energy among the computed polymorphs = 0 meV/atom
# Raw total energy = -4.96 eV/atom
# Volume = 92.7 Å³/cell
# Calculated formation energy = -0.403 eV per atom